Record 1
Computed, not measured: ZrBe2Si at its PBEsol-relaxed geometry at the meta-GGA SCAN level of DFT.

a = 3.6253 Å, b = 3.6253 Å, c = 4.9991 Å
α = 68.74°, β = 68.74°, γ = 60.00°
Closest atoms and distances in Å follow each position.
Element x y z (fractional)
Zr  0.7432  0.7432  0.7703  7 Be 2.71-2.86, 4 Si 2.74-2.77
Si  0.5399  0.5399  0.3802  6 Be 2.25-2.34
Be  0.9506  0.9506  0.1482  3 Be 2.11, 3 Si 2.34
Be  0.2667  0.2667  0.1999  3 Be 2.11, 3 Si 2.25

Calculated values
Its uncorrected formation energy is -0.386 eV/atom.


Record 2
Computed, not measured: ZrBe2Si at its PBEsol-relaxed geometry at the meta-GGA SCAN level of DFT.

a = 2.9631 Å, b = 3.8862 Å, c = 4.7604 Å
α = 90.00°, β = 90.00°, γ = 90.00°
Closest atoms and distances in Å follow each position.
Element x y z (fractional)
Si  0.5000  0.5000  0.5000  4 Be 2.31
Be  0.5000  0.0000  0.2393  2 Be 2.28-2.48, 2 Si 2.31
Be  0.5000  0.0000  0.7607  2 Be 2.28-2.48, 2 Si 2.31
Zr  0.0000  0.5000  0.0000  8 Be 2.70, 4 Si 2.80, 2 Zr 2.96

Calculated values
Its uncorrected formation energy is -0.124 eV/atom.